Computed, not measured: a relaxed structure of NiBr at the PBE-GGA level of DFT.

a b c (Å): 9.9463 9.9463 3.8291
angles (deg): 90.00 90.00 90.00
Positions (direct):
Ni: 0.6969 0.8070 0.5000
Br: 0.2655 0.9419 0.5000
Ni: 0.8031 0.6930 0.0000
Br: 0.4419 0.2345 0.0000
Ni: 0.1930 0.6969 0.5000
Br: 0.5581 0.7655 0.0000
Ni: 0.3031 0.1930 0.5000
Ni: 0.8070 0.3031 0.5000
Ni: 0.3070 0.8031 0.0000
Br: 0.9419 0.7345 0.5000
Br: 0.2345 0.5581 0.0000
Br: 0.0581 0.2655 0.5000
Ni: 0.1969 0.3070 0.0000
Br: 0.7655 0.4419 0.0000
Ni: 0.6930 0.1969 0.0000
Br: 0.7345 0.0581 0.5000

* uncorrected energy: -3.693 eV/atom



Computed, not measured: a relaxed structure of NaPb3S at the PBE-GGA level of DFT.

a b c (Å): 5.6084 5.6084 5.6084
angles (deg): 90.00 90.00 90.00
Positions (direct):
Pb: 0.0000 0.5000 0.0000
Na: 0.5000 0.5000 0.5000
S: 0.0000 0.0000 0.0000
Pb: 0.0000 0.0000 0.5000
Pb: 0.5000 0.0000 0.0000

* ΔE to the lowest computed polymorph: 0.0 kJ per mole of atoms
* uncorrected energy: -3.286 eV/atom